# 1
VASP calculation (GGA-PBE) on an optimized crystal structure of CuHg2Bi.

Raw total energy, eV per atom: -1.802
N(E_F), states/eV/cell: 1.086
Formation enthalpy at 0 K, eV per atom: 0.343
Space-group type: No. 166

Geometry as POSCAR:
```
CuHg2Bi
1.0
1.698 0.980 10.644
-1.698 0.980 10.644
0.000 -1.961 10.644
Cu Hg Bi
1 2 1
direct
0.000 0.000 0.000 Cu
0.079 0.079 0.079 Hg
0.921 0.921 0.921 Hg
0.500 0.500 0.500 Bi
```

# 2
VASP calculation (GGA-PBE) on an optimized crystal structure of VBW3.

Raw total energy, eV per atom: -8.451
N(E_F), states/eV/cell: 4.656
E above lowest polymorph, eV per atom: 2.152
Formation enthalpy at 0 K, eV per atom: 2.480
Space-group type: No. 221

Geometry as POSCAR:
```
VBW3
1.0
4.485 0.000 0.000
0.000 4.485 0.000
0.000 0.000 4.485
V B W
1 1 3
direct
0.000 0.000 0.000 V
0.500 0.500 0.500 B
0.000 0.000 0.500 W
0.000 0.500 0.000 W
0.500 0.000 0.000 W
```

# 3
VASP calculation (GGA-PBE) on an optimized crystal structure of Ti3VGe4.

Raw total energy, eV per atom: -6.440
N(E_F), states/eV/cell: 8.887
Formation enthalpy at 0 K, eV per atom: -0.031
Space-group type: No. 59

Geometry as POSCAR:
```
Ti3VGe4
1.0
5.011 0.000 0.000
0.000 8.608 0.000
0.000 0.000 7.785
Ti V Ge
6 2 8
direct
0.250 0.000 0.164 Ti
0.250 0.250 0.663 Ti
0.250 0.500 0.164 Ti
0.750 0.000 0.836 Ti
0.750 0.500 0.836 Ti
0.750 0.750 0.337 Ti
0.250 0.750 0.665 V
0.750 0.250 0.335 V
0.250 0.250 0.338 Ge
0.250 0.506 0.835 Ge
0.250 0.750 0.346 Ge
0.250 0.994 0.835 Ge
0.750 0.006 0.165 Ge
0.750 0.250 0.654 Ge
0.750 0.494 0.165 Ge
0.750 0.750 0.662 Ge
```

# 4
VASP calculation (GGA-PBE) on an optimized crystal structure of TiInAg3.

Raw total energy, eV per atom: -2.928
N(E_F), states/eV/cell: 3.901
E above lowest polymorph, eV per atom: 0.000
Formation enthalpy at 0 K, eV per atom: 0.909
Space-group type: No. 221

Geometry as POSCAR:
```
TiInAg3
1.0
5.145 0.000 0.000
0.000 5.145 0.000
0.000 0.000 5.145
Ti In Ag
1 1 3
direct
0.000 0.000 0.000 Ti
0.500 0.500 0.500 In
0.000 0.000 0.500 Ag
0.000 0.500 0.000 Ag
0.500 0.000 0.000 Ag
```

# 5
VASP calculation (GGA-PBE) on an optimized crystal structure of KDyCuSe3.

Raw total energy, eV per atom: -4.559
N(E_F), states/eV/cell: 8.867
Space-group type: No. 11
Formation energy from raw total energies, meV per atom: -1184.3

Geometry as POSCAR:
```
KDyCuSe3
1.0
9.125 0.000 0.000
0.000 4.069 0.000
-3.130 0.000 9.147
K Dy Cu Se
2 2 2 6
direct
0.204 0.250 0.236 K
0.796 0.750 0.764 K
0.325 0.750 0.854 Dy
0.675 0.250 0.146 Dy
0.085 0.250 0.601 Cu
0.915 0.750 0.399 Cu
0.108 0.250 0.859 Se
0.195 0.750 0.533 Se
0.461 0.750 0.165 Se
0.539 0.250 0.835 Se
0.805 0.250 0.467 Se
0.892 0.750 0.141 Se
```

# 6
VASP calculation (GGA-PBE) on an optimized crystal structure of K2TlPb2.

Raw total energy, eV per atom: -2.358
N(E_F), states/eV/cell: 7.181
E above lowest polymorph, eV per atom: 0.142
Formation enthalpy at 0 K, eV per atom: 0.038
Space-group type: No. 127

Geometry as POSCAR:
```
K2TlPb2
1.0
10.354 0.000 0.000
0.000 10.354 0.000
0.000 0.000 3.559
K Tl Pb
4 2 4
direct
0.191 0.309 0.000 K
0.309 0.809 0.000 K
0.691 0.191 0.000 K
0.809 0.691 0.000 K
0.000 0.000 0.000 Tl
0.500 0.500 0.000 Tl
0.106 0.606 0.500 Pb
0.394 0.106 0.500 Pb
0.606 0.894 0.500 Pb
0.894 0.394 0.500 Pb
```

# 7
VASP calculation (GGA-PBE) on an optimized crystal structure of NaSmBi2Se4.

Raw total energy, eV per atom: -4.218
N(E_F), states/eV/cell: 3.513
Space-group type: No. 10
Formation energy from raw total energies, meV per atom: -750.3

Geometry as POSCAR:
```
NaSmBi2Se4
1.0
7.530 0.000 0.000
0.000 3.835 0.000
-0.380 0.000 7.573
Na Sm Bi Se
1 1 2 4
direct
0.000 0.000 0.000 Na
0.000 0.500 0.500 Sm
0.500 0.000 0.000 Bi
0.500 0.500 0.500 Bi
0.224 0.000 0.693 Se
0.255 0.500 0.193 Se
0.745 0.500 0.807 Se
0.776 0.000 0.307 Se
```

# 8
VASP calculation (GGA-PBE) on an optimized crystal structure of La2CdNiC.

Raw total energy, eV per atom: -5.377
N(E_F), states/eV/cell: 4.906
Formation enthalpy at 0 K, eV per atom: -0.222
Space-group type: No. 123

Geometry as POSCAR:
```
La2CdNiC
1.0
5.478 0.000 0.000
0.000 5.478 0.000
0.000 0.000 3.711
La Cd Ni C
2 1 1 1
direct
0.000 0.500 0.000 La
0.500 0.000 0.000 La
0.000 0.000 0.500 Cd
0.500 0.500 0.500 Ni
0.500 0.500 0.000 C
```

# 9
VASP calculation (GGA-PBE) on an optimized crystal structure of NaZr2Cu.

Raw total energy, eV per atom: -5.177
N(E_F), states/eV/cell: 4.955
E above lowest polymorph, eV per atom: 0.000
Formation enthalpy at 0 K, eV per atom: 0.451
Space-group type: No. 225

Geometry as POSCAR:
```
NaZr2Cu
1.0
0.000 3.405 3.405
3.405 0.000 3.405
3.405 3.405 0.000
Na Zr Cu
1 2 1
direct
0.000 0.000 0.000 Na
0.250 0.250 0.250 Zr
0.750 0.750 0.750 Zr
0.500 0.500 0.500 Cu
```

# 10
VASP calculation (GGA-PBE) on an optimized crystal structure of CuRhW3.

Raw total energy, eV per atom: -8.239
N(E_F), states/eV/cell: 8.862
E above lowest polymorph, eV per atom: 0.000
Formation enthalpy at 0 K, eV per atom: 1.822
Space-group type: No. 221

Geometry as POSCAR:
```
CuRhW3
1.0
4.455 0.000 0.000
0.000 4.455 0.000
0.000 0.000 4.455
Cu Rh W
1 1 3
direct
0.000 0.000 0.000 Cu
0.500 0.500 0.500 Rh
0.000 0.000 0.500 W
0.000 0.500 0.000 W
0.500 0.000 0.000 W
```

# 11
VASP calculation (GGA-PBE) on an optimized crystal structure of SrIn2H.

Raw total energy, eV per atom: -2.580
N(E_F), states/eV/cell: 4.008
E above lowest polymorph, eV per atom: 0.000
Space-group type: No. 122

Geometry as POSCAR:
```
SrIn2H
1.0
-3.382 3.382 4.596
3.382 -3.382 4.596
3.382 3.382 -4.596
Sr In H
2 4 2
direct
0.000 0.000 0.000 Sr
0.750 0.250 0.500 Sr
0.298 0.625 0.173 In
0.375 0.548 0.673 In
0.452 0.125 0.827 In
0.875 0.702 0.327 In
0.250 0.750 0.500 H
0.500 0.500 0.000 H
```

# 12
VASP calculation (GGA-PBE) on an optimized crystal structure of ZrTe2NF.

Raw total energy, eV per atom: -4.438
N(E_F), states/eV/cell: 2.192
E above lowest polymorph, eV per atom: 0.566
Space-group type: No. 123
Formation energy from raw total energies, meV per atom: 567.6

Geometry as POSCAR:
```
ZrTe2NF
1.0
4.821 0.000 0.000
0.000 4.821 0.000
0.000 0.000 4.080
Zr Te N F
1 2 1 1
direct
0.000 0.000 0.000 Zr
0.000 0.500 0.500 Te
0.500 0.000 0.500 Te
0.500 0.500 0.000 N
0.500 0.500 0.500 F
```

# 13
VASP calculation (GGA-PBE) on an optimized crystal structure of Mg2PIr.

Raw total energy, eV per atom: -4.593
N(E_F), states/eV/cell: 1.065
Formation enthalpy at 0 K, eV per atom: -0.228
Space-group type: No. 119

Geometry as POSCAR:
```
Mg2PIr
1.0
-1.985 1.985 3.935
1.985 -1.985 3.935
1.985 1.985 -3.935
Mg P Ir
2 1 1
direct
0.000 0.000 0.000 Mg
0.750 0.250 0.500 Mg
0.250 0.750 0.500 P
0.500 0.500 0.000 Ir
```

# 14
VASP calculation (GGA-PBE) on an optimized crystal structure of HgPt3.

Raw total energy, eV per atom: -4.556
N(E_F), states/eV/cell: 5.550
Formation enthalpy at 0 K, eV per atom: 0.050
Space-group type: No. 47

Geometry as POSCAR:
```
HgPt3
1.0
2.870 0.000 0.000
0.000 4.037 0.000
0.000 0.000 5.826
Hg Pt
1 3
direct
0.000 0.000 0.000 Hg
0.000 0.000 0.500 Pt
0.500 0.500 0.263 Pt
0.500 0.500 0.737 Pt
```

# 15
VASP calculation (GGA-PBE) on an optimized crystal structure of LiCe2As4Pt3.

Raw total energy, eV per atom: -5.944
N(E_F), states/eV/cell: 14.947
Formation enthalpy at 0 K, eV per atom: -0.894
Space-group type: No. 115

Geometry as POSCAR:
```
LiCe2As4Pt3
1.0
4.401 0.000 0.000
0.000 4.401 0.000
0.000 0.000 10.118
Li Ce As Pt
1 2 4 3
direct
0.000 0.000 0.000 Li
0.000 0.500 0.750 Ce
0.500 0.000 0.250 Ce
0.000 0.000 0.500 As
0.000 0.500 0.133 As
0.500 0.000 0.867 As
0.500 0.500 0.500 As
0.000 0.500 0.378 Pt
0.500 0.000 0.622 Pt
0.500 0.500 0.000 Pt
```

# 16
VASP calculation (GGA-PBE) on an optimized crystal structure of CaLuZnIr.

Raw total energy, eV per atom: -4.604
N(E_F), states/eV/cell: 3.371
Formation enthalpy at 0 K, eV per atom: -0.440
Space-group type: No. 216

Geometry as POSCAR:
```
CaLuZnIr
1.0
0.000 3.449 3.449
3.449 0.000 3.449
3.449 3.449 0.000
Ca Lu Zn Ir
1 1 1 1
direct
0.000 0.000 0.000 Ca
0.500 0.500 0.500 Lu
0.750 0.750 0.750 Zn
0.250 0.250 0.250 Ir
```

# 17
VASP calculation (GGA-PBE) on an optimized crystal structure of TiMnVN.

Raw total energy, eV per atom: -9.276
N(E_F), states/eV/cell: 3.819
E above lowest polymorph, eV per atom: 0.278
Space-group type: No. 8
Formation energy from raw total energies, meV per atom: -648.4

Geometry as POSCAR:
```
TiMnVN
1.0
3.863 -2.093 0.000
3.863 2.093 0.000
-0.258 0.000 2.844
Ti Mn V N
1 1 1 1
direct
0.000 0.000 0.000 Ti
0.668 0.668 0.553 Mn
0.322 0.322 0.465 V
0.498 0.498 0.005 N
```

# 18
VASP calculation (GGA-PBE) on an optimized crystal structure of Sr2ZrZn.

Raw total energy, eV per atom: -2.881
N(E_F), states/eV/cell: 5.197
Formation enthalpy at 0 K, eV per atom: 0.415
Space-group type: No. 65

Geometry as POSCAR:
```
Sr2ZrZn
1.0
3.574 -4.904 0.000
3.574 4.904 0.000
0.000 0.000 3.585
Sr Zr Zn
2 1 1
direct
0.000 0.500 0.000 Sr
0.500 0.000 0.000 Sr
0.000 0.000 0.500 Zr
0.500 0.500 0.500 Zn
```

# 19
VASP calculation (GGA-PBE) on an optimized crystal structure of La6ErTl.

Raw total energy, eV per atom: -4.610
N(E_F), states/eV/cell: 9.553
E above lowest polymorph, eV per atom: 0.054
Formation enthalpy at 0 K, eV per atom: -0.048
Space-group type: No. 12

Geometry as POSCAR:
```
La6ErTl
1.0
4.259 -5.057 0.000
4.259 5.057 0.000
-0.742 0.000 6.390
La Er Tl
6 1 1
direct
0.028 0.630 0.274 La
0.150 0.150 0.200 La
0.370 0.972 0.726 La
0.630 0.028 0.274 La
0.850 0.850 0.800 La
0.972 0.370 0.726 La
0.500 0.500 0.000 Er
0.500 0.500 0.500 Tl
```

# 20
VASP calculation (GGA-PBE) on an optimized crystal structure of Ce3PrDy4P8.

Raw total energy, eV per atom: -6.826
N(E_F), states/eV/cell: 15.236
Formation enthalpy at 0 K, eV per atom: -1.559
Space-group type: No. 166

Geometry as POSCAR:
```
Ce3PrDy4P8
1.0
4.064 2.346 6.619
-4.064 2.346 6.619
0.000 -4.692 6.619
Ce Pr Dy P
3 1 4 8
direct
0.000 0.500 0.500 Ce
0.500 0.000 0.500 Ce
0.500 0.500 0.000 Ce
0.000 0.000 0.000 Pr
0.000 0.000 0.500 Dy
0.000 0.500 0.000 Dy
0.500 0.000 0.000 Dy
0.500 0.500 0.500 Dy
0.249 0.249 0.249 P
0.253 0.746 0.746 P
0.254 0.254 0.747 P
0.254 0.747 0.254 P
0.746 0.253 0.746 P
0.746 0.746 0.253 P
0.747 0.254 0.254 P
0.751 0.751 0.751 P
```

# 21
VASP calculation (GGA-PBE) on an optimized crystal structure of YBiSbI2.

Raw total energy, eV per atom: -3.647
N(E_F), states/eV/cell: 0.404
E above lowest polymorph, eV per atom: 0.051
Space-group type: No. 123
Formation energy from raw total energies, meV per atom: -133.2

Geometry as POSCAR:
```
YBiSbI2
1.0
5.777 0.000 0.000
0.000 5.777 0.000
0.000 0.000 6.568
Y Bi Sb I
1 1 1 2
direct
0.000 0.000 0.000 Y
0.000 0.000 0.500 Bi
0.500 0.500 0.500 Sb
0.000 0.500 0.000 I
0.500 0.000 0.000 I
```

# 22
VASP calculation (GGA-PBE) on an optimized crystal structure of CeY2CoN4.

Raw total energy, eV per atom: -8.527
N(E_F), states/eV/cell: 9.584
Space-group type: No. 63
Formation energy from raw total energies, meV per atom: -1118.3

Geometry as POSCAR:
```
CeY2CoN4
1.0
1.688 -5.649 0.000
1.688 5.649 0.000
0.000 0.000 11.550
Ce Y Co N
2 4 2 8
direct
0.108 0.892 0.750 Ce
0.892 0.108 0.250 Ce
0.369 0.631 0.550 Y
0.369 0.631 0.950 Y
0.631 0.369 0.050 Y
0.631 0.369 0.450 Y
0.155 0.845 0.250 Co
0.845 0.155 0.750 Co
0.000 0.000 0.000 N
0.000 0.000 0.500 N
0.273 0.727 0.132 N
0.273 0.727 0.368 N
0.438 0.562 0.750 N
0.562 0.438 0.250 N
0.727 0.273 0.632 N
0.727 0.273 0.868 N
```

# 23
VASP calculation (GGA-PBE) on an optimized crystal structure of Tb6CdHg2.

Raw total energy, eV per atom: -3.492
N(E_F), states/eV/cell: 18.912
Formation enthalpy at 0 K, eV per atom: -0.236
Space-group type: No. 71

Geometry as POSCAR:
```
Tb6CdHg2
1.0
-4.939 5.091 5.215
4.939 -5.091 5.215
4.939 5.091 -5.215
Tb Cd Hg
12 2 4
direct
0.045 0.823 0.221 Tb
0.249 0.552 0.303 Tb
0.249 0.947 0.697 Tb
0.271 0.321 0.592 Tb
0.271 0.679 0.950 Tb
0.398 0.177 0.221 Tb
0.602 0.823 0.779 Tb
0.729 0.321 0.050 Tb
0.729 0.679 0.408 Tb
0.751 0.053 0.303 Tb
0.751 0.448 0.697 Tb
0.955 0.177 0.779 Tb
0.000 0.500 0.500 Cd
0.500 0.000 0.500 Cd
0.000 0.151 0.151 Hg
0.000 0.849 0.849 Hg
0.362 0.362 0.000 Hg
0.638 0.638 0.000 Hg
```

# 24
VASP calculation (GGA-PBE) on an optimized crystal structure of ZnF.

Raw total energy, eV per atom: -3.021
N(E_F), states/eV/cell: 1.377
Space-group type: No. 83
Formation energy from raw total energies, meV per atom: -1448.1

Geometry as POSCAR:
```
ZnF
1.0
10.116 0.000 0.000
0.000 10.116 0.000
0.000 0.000 3.225
Zn F
8 8
direct
0.015 0.183 0.000 Zn
0.183 0.985 0.000 Zn
0.241 0.566 0.500 Zn
0.434 0.241 0.500 Zn
0.566 0.759 0.500 Zn
0.759 0.434 0.500 Zn
0.817 0.015 0.000 Zn
0.985 0.817 0.000 Zn
0.137 0.594 0.000 F
0.310 0.387 0.500 F
0.387 0.690 0.500 F
0.406 0.137 0.000 F
0.594 0.863 0.000 F
0.613 0.310 0.500 F
0.690 0.613 0.500 F
0.863 0.406 0.000 F
```